# 1
Below is an optimized crystal structure of Nd2Y5TmTh, with properties calculated at the PBE-GGA level.

Lattice parameters (Å, degrees): 8.741 8.741 9.911 116.17 116.17 90.00
Fractional coordinates of all 18 atoms:
Nd 0.116 0.384 0.000
Nd 0.616 0.116 0.000
Nd 0.384 0.884 0.000
Nd 0.884 0.616 0.000
Y 0.927 0.427 0.279
Y 0.648 0.148 0.721
Y 0.073 0.573 0.721
Y 0.148 0.073 0.721
Y 0.573 0.648 0.721
Y 0.852 0.927 0.279
Y 0.427 0.352 0.279
Y 0.352 0.852 0.279
Y 0.500 0.500 0.000
Y 0.000 0.000 0.000
Tm 0.250 0.750 0.500
Tm 0.750 0.250 0.500
Th 0.250 0.250 0.500
Th 0.750 0.750 0.500


# 2
Below is an optimized crystal structure of NdYTmTh2, with properties calculated at the PBE-GGA level.

Lattice parameters (Å, degrees): 6.680 6.677 8.497 113.13 90.00 90.00
Fractional coordinates of all 10 atoms:
Nd 0.250 0.652 0.305
Nd 0.750 0.348 0.695
Y 0.750 0.756 0.512
Y 0.250 0.244 0.488
Tm 0.250 0.849 0.698
Tm 0.750 0.151 0.302
Th 0.500 0.247 0.000
Th 0.000 0.753 0.000
Th 0.500 0.753 0.000
Th 0.000 0.247 0.000


Table of energy (eV/atom), in record order: -5.6824 -5.7056
Table of ΔE_f (eV per formula unit), in record order: 2.61 2.02
Table of D(E_F) (states/eV per cell), in record order: 22.1 14.3